(1)
First-principles (GGA+U) data for crystalline VBiPO2 at its relaxed geometry, as listed in Alexandria.

a = 4.1542 Å, b = 4.1542 Å, c = 5.4774 Å
α = 90.00°, β = 90.00°, γ = 90.00°
Element x y z (fractional)
V 0.0000 0.0000 0.0000
Bi 0.5000 0.5000 0.5000
P 0.5000 0.5000 0.0000
O 0.0000 0.5000 0.5000
O 0.5000 0.0000 0.5000

Output
total magnetization: 0.566 μB/atom
mass density: 5.7 g/cm³

=====

(2)
First-principles (GGA+U) data for crystalline VBiPO2 at its relaxed geometry, as listed in Alexandria.

a = 3.8980 Å, b = 3.8980 Å, c = 5.0518 Å
α = 90.00°, β = 90.00°, γ = 90.00°
Element x y z (fractional)
V 0.0000 0.0000 0.0000
Bi 0.5000 0.5000 0.5000
P 0.0000 0.0000 0.5000
O 0.0000 0.5000 0.0000
O 0.5000 0.0000 0.0000

Output
total magnetization: 0.221 μB/atom
mass density: 7.0 g/cm³

=====

Which structure wins on stability? (2) wins.

=====

(1)
First-principles (GGA+U) data for crystalline BiP2WO at its relaxed geometry, as listed in Alexandria.

a = 5.2342 Å, b = 5.2342 Å, c = 4.1133 Å
α = 90.00°, β = 90.00°, γ = 90.00°
Element x y z (fractional)
Bi 0.0000 0.0000 0.0000
P 0.0000 0.5000 0.0000
P 0.5000 0.0000 0.0000
W 0.5000 0.5000 0.5000
O 0.0000 0.0000 0.5000

Output
total magnetization: 0.562 μB/atom
mass density: 6.9 g/cm³

=====

(2)
First-principles (GGA+U) data for crystalline BiP2WO at its relaxed geometry, as listed in Alexandria.

a = 5.0226 Å, b = 5.0226 Å, c = 3.8365 Å
α = 90.00°, β = 90.00°, γ = 90.00°
Element x y z (fractional)
Bi 0.0000 0.0000 0.0000
P 0.0000 0.5000 0.5000
P 0.5000 0.0000 0.5000
W 0.5000 0.5000 0.5000
O 0.5000 0.5000 0.0000

Output
total magnetization: 0.173 μB/atom
mass density: 8.1 g/cm³

=====

Which structure wins on stability? (2) wins.

=====

(1)
First-principles (GGA+U) data for crystalline BiPWO2 at its relaxed geometry, as listed in Alexandria.

a = 4.0340 Å, b = 4.0340 Å, c = 5.2568 Å
α = 90.00°, β = 90.00°, γ = 90.00°
Element x y z (fractional)
Bi 0.0000 0.0000 0.0000
P 0.5000 0.5000 0.0000
W 0.5000 0.5000 0.5000
O 0.0000 0.5000 0.5000
O 0.5000 0.0000 0.5000

Output
total magnetization: 0.400 μB/atom
mass density: 8.8 g/cm³

=====

(2)
First-principles (GGA+U) data for crystalline BiPWO2 at its relaxed geometry, as listed in Alexandria.

a = 4.1896 Å, b = 4.1896 Å, c = 5.4236 Å
α = 90.00°, β = 90.00°, γ = 90.00°
Element x y z (fractional)
Bi 0.0000 0.0000 0.0000
P 0.0000 0.0000 0.5000
W 0.5000 0.5000 0.5000
O 0.0000 0.5000 0.0000
O 0.5000 0.0000 0.0000

Output
total magnetization: 0.663 μB/atom
mass density: 8.0 g/cm³

=====

Which structure wins on stability? (1) wins.